PuZn17Ag | Alexandria | GGA-PBE | relaxed; spin magnetization = 5.77 μB per formula unit; formation energy from the elements = -0.050 eV/atom
1.0
-2.449 1.005 6.290
1.853 -5.990 2.695
5.802 2.054 2.948
Pu Zn Ag
1 17 1
direct
0.660 0.660 0.660
0.298 0.004 0.683
0.683 0.298 0.004
0.004 0.683 0.298
0.298 0.683 0.004
0.004 0.298 0.683
0.683 0.004 0.298
0.346 0.844 0.346
0.346 0.346 0.844
0.844 0.346 0.346
0.651 0.154 0.651
0.651 0.651 0.154
0.154 0.651 0.651
0.986 0.498 0.986
0.986 0.986 0.498
0.498 0.986 0.986
0.899 0.899 0.899
0.099 0.099 0.099
0.410 0.410 0.410